Record 1
Material: In2CuAs
Method: DFT, PBE-GGA
State: optimized geometry

Calculated values
Final energy, eV for the cell shown: -14.19
Total magnetization, μB per formula unit: 0.00
Space group: Cm (8)
Energy relative to the elements, kJ per mole of atoms: 1

Unit cell a=4.140 b=4.140 c=6.778 alpha=72.21 beta=72.21 gamma=59.92
Sites, in units of the cell vectors:
As 0.534 0.534 0.399
In 0.976 0.976 0.070
In 0.766 0.766 0.702
Cu 0.224 0.224 0.329

Record 2
Material: SrAgTe
Method: DFT, PBE-GGA
State: optimized geometry

Calculated values
Final energy, eV for the cell shown: -41.45
Total magnetization, μB per formula unit: 0.00
Space group: C2/m (12)
Relative energy among the computed polymorphs, meV/atom: 25
Formation energy from raw total energies, eV/atom: -0.896

Unit cell a=7.881 b=4.452 c=12.120 alpha=90.00 beta=123.16 gamma=90.00
Sites, in units of the cell vectors:
Ag 0.571 0.500 0.132
Ag 0.429 0.000 0.368
Ag 0.571 0.000 0.632
Ag 0.429 0.500 0.868
Sr 0.796 0.000 0.041
Sr 0.796 0.500 0.541
Sr 0.204 0.000 0.959
Sr 0.204 0.500 0.459
Te 0.210 0.000 0.685
Te 0.790 0.500 0.815
Te 0.790 0.000 0.315
Te 0.210 0.500 0.185

Record 3
Material: HfFeCo
Method: DFT, PBE-GGA
State: optimized geometry

Calculated values
Final energy, eV for the cell shown: -52.20
Total magnetization, μB per formula unit: 3.07
Space group: Cmcm (63)
Relative energy among the computed polymorphs, meV/atom: 162
Energy relative to the elements, kJ per mole of atoms: -19

Unit cell a=3.185 b=4.173 c=6.686 alpha=90.00 beta=103.78 gamma=90.00
Each line ends with the local moment (μB).
Sites, in units of the cell vectors:
Hf 0.090 0.750 0.180  -0.22
Hf 0.910 0.250 0.820  -0.22
Fe 0.758 0.750 0.516  2.45
Fe 0.242 0.250 0.484  2.45
Co 0.583 0.250 0.167  0.89
Co 0.417 0.750 0.833  0.89

Record 4
Material: Ta4FeN
Method: DFT, PBE-GGA
State: optimized geometry

Calculated values
Final energy, eV for the cell shown: -131.43
Total magnetization, μB per formula unit: 0.00
Space group: P2_1/c (14)
Formation energy from raw total energies, eV/atom: -0.252

Unit cell a=6.266 b=5.380 c=5.555 alpha=90.00 beta=103.90 gamma=90.00
Sites, in units of the cell vectors:
Ta 0.372 0.871 0.144
Ta 0.628 0.129 0.856
Ta 0.128 0.371 0.856
Ta 0.296 0.343 0.398
Ta 0.204 0.843 0.602
Ta 0.872 0.629 0.144
Ta 0.704 0.657 0.602
Ta 0.796 0.157 0.398
Fe 0.500 0.500 0.000
Fe 0.000 0.000 0.000
N 0.500 0.000 0.500
N 0.000 0.500 0.500